The following is a PBE calculation of crystalline CoRuSe2 at its relaxed geometry, from Alexandria.

Lattice parameters (Å, degrees): 3.661 3.661 8.956 90.00 90.00 90.00
Sites, in units of the cell vectors:
Co (0.000, 0.000, 0.000)
Co (0.500, 0.500, 0.500)
Ru (0.000, 0.500, 0.750)
Ru (0.500, 0.000, 0.250)
Se (0.000, 0.000, 0.500)
Se (0.000, 0.500, 0.250)
Se (0.500, 0.000, 0.750)
Se (0.500, 0.500, 0.000)

Density of states at the Fermi level = 1.30 states/eV/atom
Uncorrected formation energy = 0.482 eV/atom
Offset from the most stable computed form = 746 meV per atom

The following is a PBE calculation of crystalline CaCrIr4 at its relaxed geometry, from Alexandria.

Lattice parameters (Å, degrees): 5.262 5.262 5.262 60.00 60.00 60.00
Sites, in units of the cell vectors:
Ca (0.000, 0.000, 0.000)
Cr (0.750, 0.750, 0.750)
Ir (0.375, 0.375, 0.375)
Ir (0.375, 0.375, 0.874)
Ir (0.375, 0.874, 0.375)
Ir (0.874, 0.375, 0.375)

Density of states at the Fermi level = 1.66 states/eV/atom
ΔH_f (0 K) = -0.02 eV per formula unit

The following is a PBE calculation of crystalline LiPb4S4 at its relaxed geometry, from Alexandria.

Lattice parameters (Å, degrees): 7.209 7.209 7.209 122.14 122.14 86.33
Sites, in units of the cell vectors:
Li (0.000, 0.000, 0.000)
Pb (0.000, 0.500, 0.500)
Pb (0.327, 0.327, 0.000)
Pb (0.500, 0.000, 0.500)
Pb (0.673, 0.673, 0.000)
S (0.054, 0.656, 0.000)
S (0.344, 0.344, 0.398)
S (0.656, 0.054, 0.000)
S (0.946, 0.946, 0.602)

Density of states at the Fermi level = 0.37 states/eV/atom
Uncorrected formation energy = -0.457 eV/atom

The following is a PBE calculation of crystalline Tb3Pr2Dy6Sc at its relaxed geometry, from Alexandria.

Lattice parameters (Å, degrees): 6.147 6.147 11.793 94.97 94.97 119.99
Sites, in units of the cell vectors:
Tb (0.000, 0.000, 0.000)
Tb (0.334, 0.666, 0.000)
Tb (0.666, 0.334, 0.000)
Pr (0.166, 0.834, 0.500)
Pr (0.834, 0.166, 0.500)
Dy (0.087, 0.417, 0.249)
Dy (0.253, 0.253, 0.751)
Dy (0.417, 0.087, 0.249)
Dy (0.583, 0.913, 0.751)
Dy (0.747, 0.747, 0.249)
Dy (0.913, 0.583, 0.751)
Sc (0.500, 0.500, 0.500)

Density of states at the Fermi level = 1.27 states/eV/atom
ΔH_f (0 K) = 0.30 eV per formula unit

The following is a PBE calculation of crystalline SrAuS2Cl at its relaxed geometry, from Alexandria.

Lattice parameters (Å, degrees): 5.773 5.773 5.461 90.00 90.00 90.00
Sites, in units of the cell vectors:
Sr (0.000, 0.000, 0.000)
Au (0.500, 0.500, 0.500)
S (0.000, 0.500, 0.000)
S (0.500, 0.000, 0.000)
Cl (0.000, 0.000, 0.500)

Density of states at the Fermi level = 0.80 states/eV/atom
Uncorrected formation energy = 0.130 eV/atom
Offset from the most stable computed form = 834 meV per atom

The following is a PBE calculation of crystalline K2PuPbI8 at its relaxed geometry, from Alexandria.

Lattice parameters (Å, degrees): 7.562 9.623 8.237 90.00 92.22 90.00
Sites, in units of the cell vectors:
K (0.000, 0.247, 0.000)
K (0.000, 0.753, 0.000)
Pu (0.500, 0.500, 0.500)
Pb (0.500, 0.000, 0.500)
I (0.267, 0.270, 0.627)
I (0.267, 0.730, 0.627)
I (0.268, 0.000, 0.173)
I (0.291, 0.500, 0.184)
I (0.709, 0.500, 0.816)
I (0.732, 0.000, 0.827)
I (0.733, 0.270, 0.373)
I (0.733, 0.730, 0.373)

Density of states at the Fermi level = 0.81 states/eV/atom
Uncorrected formation energy = -0.974 eV/atom